A plane-wave DFT calculation with PBE was carried out for Cs2PuCuCl6 after structural relaxation.

Cell lengths 6.4397, 7.5920, 7.5920 Å; angles 120.00, 90.00, 90.00 degrees
Each line ends with the local moment (μB).
Element x y z (fractional)
Cs (0.2200, 0.3333, 0.6667)  0.00
Cs (0.7800, 0.6667, 0.3333)  0.00
Pu (0.5000, 0.0000, 0.0000)  5.05
Cu (0.0000, 0.0000, 0.0000)  -0.04
Cl (0.7637, 0.1607, 0.3215)  -0.02
Cl (0.7637, 0.1607, 0.8393)  -0.02
Cl (0.7637, 0.6785, 0.8393)  -0.02
Cl (0.2363, 0.8393, 0.1607)  -0.02
Cl (0.2363, 0.3215, 0.1607)  -0.02
Cl (0.2363, 0.8393, 0.6785)  -0.02

Summary:
Energy relative to the elements, uncorrected ... -38.2 kcal/mol of atoms
Total moment ... 5.00 Bohr magnetons per cell
DOS(E_F) ... 8.62 states/eV/f.u.
Energy ... -4.78 eV/atom